Here is InAg6Au8 after structural relaxation from the Alexandria database. Energies are from PBE.

Cell and atoms, written as POSCAR:
```
InAg6Au8
1.0
4.2430 2.4497 4.6900
-4.2430 2.4497 4.6900
0.0000 -4.8994 4.6900
In Ag Au
1 6 8
Cartesian
0.0000 0.0000 0.0000
-1.6594 -0.1743 5.6623
-0.6788 -1.5242 8.4076
0.9806 -1.3500 5.6623
-0.9806 1.3500 8.4076
0.6788 1.5242 5.6623
1.6594 0.1743 8.4076
-1.3463 -2.9588 6.1222
-3.2355 -0.3135 7.9478
0.0000 0.0000 3.1880
-1.8893 2.6453 6.1221
1.8893 -2.6453 7.9478
0.0000 0.0000 10.8819
3.2355 0.3135 6.1222
1.3463 2.9588 7.9478
```

Summary:
ΔE_f	0.0567	eV/atom